VASP calculation (PBE-GGA) on crystalline Tb4ScAg2 at its relaxed geometry.

Cell: 5.3277 5.3277 8.8938 Å, 72.57 72.57 60.00°
With the nearest neighbours (Å) after each atom.
Positions (direct):
Tb  0.7262  0.7262  0.8213  4 Ag 2.96-3.08
Tb  0.8714  0.8714  0.3859  3 Sc 3.22, 3 Tb 3.53, 3 Ag 3.54
Tb  0.2738  0.2738  0.1787  4 Ag 2.96-3.08
Tb  0.1286  0.1286  0.6141  3 Sc 3.22, 3 Tb 3.53, 3 Ag 3.54
Sc  0.5000  0.5000  0.5000  2 Ag 2.70
Ag  0.6080  0.6080  0.1760  1 Sc 2.70, 1 Tb 2.96
Ag  0.3920  0.3920  0.8240  1 Sc 2.70, 1 Tb 2.96

Output
**Space group**: R-3m (166)
**DFT total energy**: -4.2812 eV per atom
**Calculated formation energy**: 84 meV per atom

=====

VASP calculation (PBE-GGA) on crystalline PrHo2Hg4 at its relaxed geometry.

Cell: 5.1391 6.4760 6.4760 Å, 112.00 90.00 90.00°
With the nearest neighbours (Å) after each atom.
Positions (direct):
Pr  0.5000  0.5000  0.5000  8 Hg 3.24-3.26
Ho  0.0000  0.7564  0.2436  8 Hg 3.07-3.41
Ho  0.0000  0.2436  0.7564  8 Hg 3.07-3.41
Hg  0.0000  0.7768  0.7768  4 Ho 3.07-3.41, 1 Hg 3.23, 2 Pr 3.26
Hg  0.0000  0.2232  0.2232  4 Ho 3.07-3.41, 1 Hg 3.23, 2 Pr 3.26
Hg  0.5000  0.0000  0.5000  4 Ho 3.14, 2 Pr 3.24
Hg  0.5000  0.5000  0.0000  4 Ho 3.14, 2 Pr 3.24

Output
**Space group**: Cmmm (65)
**DFT total energy**: -2.5346 eV per atom
**Calculated formation energy**: -371 meV per atom

=====

- Which of these has the highest DFT total energy?
  PrHo2Hg4

=====

- Which formula does entry 1 have?
  Tb4ScAg2